# 1
The following is a PBE calculation of crystalline Pm2Pu3ThTe6 at its relaxed geometry, from Alexandria.

Lattice parameters (Å, degrees): 19.348 4.430 8.905 90.00 102.55 90.00
Space group C2/m (No. 12)
One atom of each set of equivalent atoms:
1 Pm 0.166 0.000 0.336 x4
2 Pu 0.000 0.500 0.500 x2
3 Pu 0.166 0.000 0.836 x4
4 Th 0.000 0.500 0.000 x2
5 Te 0.001 0.000 0.745 x4
6 Te 0.166 0.500 0.588 x4
7 Te 0.169 0.500 0.084 x4

---

# 2
The following is a PBE calculation of crystalline Pm3PuTl4Te8 at its relaxed geometry, from Alexandria.

Lattice parameters (Å, degrees): 9.0731 9.0731 24.4678 90.00 90.00 120.00
Space group R-3m (No. 166, hexagonal axes)
One atom of each set of equivalent atoms:
1 Pm 0.0000 0.5000 0.0000 x9
2 Pu 0.0000 0.0000 0.0000 x3
3 Tl 0.0000 0.0000 0.5000 x3
4 Tl 0.0000 0.5000 0.5000 x9
5 Te 0.0000 0.0000 0.2600 x6
6 Te 0.0015 0.5008 0.7393 x18

---

# 3
The following is a PBE calculation of crystalline Pm3Tm2PuTe6 at its relaxed geometry, from Alexandria.

Lattice parameters (Å, degrees): 19.288 4.363 8.885 90.00 104.16 90.00
Space group C2/m (No. 12)
One atom of each set of equivalent atoms:
1 Pm 0.000 0.000 0.000 x2
2 Pm 0.164 0.500 0.334 x4
3 Tm 0.163 0.500 0.827 x4
4 Pu 0.000 0.000 0.500 x2
5 Te 0.003 0.500 0.749 x4
6 Te 0.167 0.000 0.592 x4
7 Te 0.172 0.000 0.075 x4

---

# 4
The following is a PBE calculation of crystalline Pm2TmPu3Te6 at its relaxed geometry, from Alexandria.

Lattice parameters (Å, degrees): 19.330 4.402 8.881 90.00 103.91 90.00
Space group C2/m (No. 12)
One atom of each set of equivalent atoms:
1 Pm 0.168 0.000 0.337 x4
2 Tm 0.000 0.500 0.000 x2
3 Pu 0.000 0.500 0.500 x2
4 Pu 0.169 0.000 0.835 x4
5 Te 0.001 0.000 0.758 x4
6 Te 0.163 0.500 0.080 x4
7 Te 0.165 0.500 0.587 x4

---

# 5
The following is a PBE calculation of crystalline Pm2TmPuTe5 at its relaxed geometry, from Alexandria.

Lattice parameters (Å, degrees): 5.456 5.456 11.734 90.00 90.00 90.00
Space group P4/mmm (No. 123)
One atom of each set of equivalent atoms:
1 Pm 0.000 0.000 0.169 x2
2 Tm 0.500 0.500 0.000 x1
3 Pu 0.500 0.500 0.500 x1
4 Te 0.000 0.000 0.500 x1
5 Te 0.000 0.500 0.000 x2
6 Te 0.500 0.500 0.247 x2

---

# 6
The following is a PBE calculation of crystalline Pm2Tm3PuTe6 at its relaxed geometry, from Alexandria.

Lattice parameters (Å, degrees): 19.171 4.338 8.836 90.00 104.42 90.00
Space group C2/m (No. 12)
One atom of each set of equivalent atoms:
1 Pm 0.167 0.000 0.334 x4
2 Tm 0.000 0.500 0.500 x2
3 Tm 0.168 0.000 0.836 x4
4 Pu 0.000 0.500 0.000 x2
5 Te 0.003 0.000 0.745 x4
6 Te 0.163 0.500 0.593 x4
7 Te 0.169 0.500 0.076 x4

---

# 7
The following is a PBE calculation of crystalline Pm3Tm3PuTe8 at its relaxed geometry, from Alexandria.

Lattice parameters (Å, degrees): 8.7327 8.7327 21.5204 90.00 90.00 120.00
Space group R-3m (No. 166, hexagonal axes)
One atom of each set of equivalent atoms:
1 Pm 0.0000 0.5000 0.0000 x9
2 Tm 0.0000 0.5000 0.5000 x9
3 Pu 0.0000 0.0000 0.5000 x3
4 Te 0.0000 0.0000 0.2456 x6
5 Te 0.0157 0.5078 0.7506 x18

---

# 8
The following is a PBE calculation of crystalline PmTmPu2Te5 at its relaxed geometry, from Alexandria.

Lattice parameters (Å, degrees): 5.465 5.465 11.694 90.00 90.00 90.00
Space group P4/mmm (No. 123)
One atom of each set of equivalent atoms:
1 Pm 0.000 0.000 0.000 x1
2 Tm 0.000 0.000 0.500 x1
3 Pu 0.500 0.500 0.320 x2
4 Te 0.000 0.000 0.249 x2
5 Te 0.000 0.500 0.500 x2
6 Te 0.500 0.500 0.000 x1

---

| no. | formation energy without anion corrections (eV per formula unit) | D(E_F) (states/eV per atom) |
| --- | --- | --- |
| 1 | -14.3 | 2.688 |
| 2 | -15.9 | 0.899 |
| 3 | -15.6 | 0.979 |
| 4 | -14.8 | 2.724 |
| 5 | -6.6 | 2.425 |
| 6 | -15.1 | 1.063 |
| 7 | -19.8 | 1.370 |
| 8 | -6.5 | 3.629 |